No. 1
# LaSmEr2Se6

LaSmEr2Se6 after structural relaxation (PBE-GGA, the Alexandria database).

Computed properties:
- Crystal system: trigonal
- Formation energy without anion corrections: -1.8776 eV per atom
- D(E_F): 0.000 states/eV per atom
- Energy: -0.4296 Ry per atom

a b c (Å): 7.3386 7.3389 7.7321
angles (deg): 61.67 61.68 60.00
Closest atoms and distances in Å follow each position.
Element x y z (fractional)
Se (0.2304, 0.9010, 0.2448)  2 Er 2.82-2.88, 1 Sm 2.92, 1 La 3.08
Se (0.7311, 0.1387, 0.7441)  2 Er 2.81-2.87, 1 Sm 2.98, 1 La 2.98
Er (0.5148, 0.5147, 0.4556)  6 Se 2.82-2.87
La (0.8091, 0.8091, 0.5725)  6 Se 2.98-3.08
Se (0.3860, 0.7312, 0.7440)  2 Er 2.81-2.87, 1 Sm 2.98, 1 La 2.98
Er (0.0122, 0.0123, 0.9633)  6 Se 2.81-2.88
Sm (0.3143, 0.3143, 0.0571)  6 Se 2.92-2.98
Se (0.1387, 0.3861, 0.7441)  2 Er 2.81-2.87, 1 Sm 2.98, 1 La 2.98
Se (0.6238, 0.2303, 0.2448)  2 Er 2.82-2.88, 1 Sm 2.92, 1 La 3.08
Se (0.9011, 0.6238, 0.2449)  2 Er 2.82-2.88, 1 Sm 2.92, 1 La 3.07

No. 2
# Pm2PuF11

Pm2PuF11 after structural relaxation (PBE-GGA, the Alexandria database).

Computed properties:
- Crystal system: orthorhombic
- Formation energy without anion corrections: -3.6036 eV per atom
- D(E_F): 0.349 states/eV per atom
- Energy: -0.4980 Ry per atom

a b c (Å): 8.3528 8.7434 8.7434
angles (deg): 74.62 61.47 61.47
Closest atoms and distances in Å follow each position.
Element x y z (fractional)
F (0.9380, 0.4242, 0.2944)  1 Pu 2.19, 1 Pm 2.40
F (0.1566, 0.0758, 0.2056)  1 Pu 2.19, 1 Pm 2.40
Pu (0.7500, 0.7500, 0.7500)  8 F 2.19-2.21
F (0.2447, 0.5142, 0.1831)  1 Pu 2.21, 1 Pm 2.37
F (0.3751, 0.7237, 0.2763)  2 Pm 2.22-2.24
F (0.5000, 0.5000, 0.5000)  2 Pm 2.24
Pm (0.8621, 0.1816, 0.8184)  7 F 2.22-2.40
F (0.4380, 0.7944, 0.9242)  1 Pu 2.19, 1 Pm 2.40
Pm (0.3621, 0.3184, 0.6816)  7 F 2.22-2.40
F (0.9420, 0.8169, 0.4858)  1 Pu 2.21, 1 Pm 2.37
F (0.0580, 0.1831, 0.5142)  1 Pu 2.21, 1 Pm 2.37
F (0.0000, 0.0000, 0.0000)  2 Pm 2.24
F (0.1249, 0.2237, 0.7763)  2 Pm 2.22-2.24
Pm (0.6379, 0.6816, 0.3184)  7 F 2.22-2.40
F (0.6249, 0.2763, 0.7237)  2 Pm 2.22-2.24
F (0.5620, 0.2056, 0.0758)  1 Pu 2.19, 1 Pm 2.40
F (0.5580, 0.0142, 0.6831)  1 Pu 2.21, 1 Pm 2.37
F (0.7553, 0.4858, 0.8169)  1 Pu 2.21, 1 Pm 2.37
F (0.3434, 0.2944, 0.4242)  1 Pu 2.19, 1 Pm 2.40
Pm (0.1379, 0.8184, 0.1816)  7 F 2.22-2.40
F (0.7447, 0.6831, 0.0142)  1 Pu 2.21, 1 Pm 2.37
Pu (0.2500, 0.2500, 0.2500)  8 F 2.19-2.21
F (0.0620, 0.5758, 0.7056)  1 Pu 2.19, 1 Pm 2.40
F (0.4420, 0.9858, 0.3169)  1 Pu 2.21, 1 Pm 2.37
F (0.8434, 0.9242, 0.7944)  1 Pu 2.19, 1 Pm 2.40
F (0.6566, 0.7056, 0.5758)  1 Pu 2.19, 1 Pm 2.40
F (0.8751, 0.7763, 0.2237)  2 Pm 2.22-2.24
F (0.2553, 0.3169, 0.9858)  1 Pu 2.21, 1 Pm 2.37

No. 3
# ZrHgSe2

ZrHgSe2 after structural relaxation (PBE-GGA, the Alexandria database).

Computed properties:
- Crystal system: tetragonal
- Formation energy without anion corrections: -0.6866 eV per atom
- D(E_F): 0.000 states/eV per atom
- Excess energy over the best structure of this formula in the dataset: 0.305 eV/atom
- Energy: -0.3411 Ry per atom

a b c (Å): 7.6540 7.6540 7.6625
angles (deg): 60.04 60.04 90.00
Closest atoms and distances in Å follow each position.
Element x y z (fractional)
Se (0.8750, 0.7533, 0.7500)  2 Zr 2.54
Se (0.3750, 0.4967, 0.7500)  2 Zr 2.54
Hg (0.7500, 0.2500, 0.5000)  4 Se 3.69
Hg (0.0000, 0.0000, 0.0000)  4 Se 3.69
Zr (0.5000, 0.5000, 0.0000)  4 Se 2.54
Zr (0.2500, 0.7500, 0.5000)  4 Se 2.54
Se (0.2467, 0.6250, 0.2500)  2 Zr 2.54
Se (0.5033, 0.1250, 0.2500)  2 Zr 2.54

No. 4
# Zr2RhW

Zr2RhW after structural relaxation (PBE-GGA, the Alexandria database).

Computed properties:
- Crystal system: orthorhombic
- Formation enthalpy at 0 K: -0.073 eV/atom
- D(E_F): 0.886 states/eV per atom
- Excess energy over the best structure of this formula in the dataset: 0.291 eV/atom
- Energy: -0.6926 Ry per atom

a b c (Å): 3.3611 4.9573 4.3980
angles (deg): 90.00 90.00 90.00
Closest atoms and distances in Å follow each position.
Element x y z (fractional)
Zr (0.5000, 0.5000, 0.0000)  4 W 2.77, 4 Zr 2.99
Zr (0.0000, 0.0000, 0.0000)  4 Rh 2.77, 4 Zr 2.99
Rh (0.5000, 0.0000, 0.5000)  4 Zr 2.77, 4 W 2.99
W (0.0000, 0.5000, 0.5000)  4 Zr 2.77, 4 Rh 2.99

No. 5
# SrAc8Co5

SrAc8Co5 after structural relaxation (PBE-GGA, the Alexandria database).

Computed properties:
- Crystal system: monoclinic
- Formation enthalpy at 0 K: 0.003 eV/atom
- D(E_F): 0.759 states/eV per atom
- Energy: -0.3677 Ry per atom

a b c (Å): 4.2660 10.3047 11.1660
angles (deg): 103.80 101.01 90.00
Closest atoms and distances in Å follow each position.
Element x y z (fractional)
Ac (0.2435, 0.1627, 0.4869)  5 Co 2.89-3.01
Ac (0.8244, 0.5112, 0.6487)  3 Co 2.95
Ac (0.4277, 0.8408, 0.8553)  4 Co 2.81-2.91
Co (0.7020, 0.3131, 0.4040)  6 Ac 2.90-2.95, 1 Co 2.95
Co (0.0000, 0.0000, 0.0000)  6 Ac 2.86-2.91
Ac (0.9045, 0.1454, 0.8090)  3 Co 2.86-2.93
Co (0.2981, 0.6871, 0.5961)  6 Ac 2.90-2.95, 1 Co 2.95
Ac (0.5724, 0.1592, 0.1447)  4 Co 2.81-2.91
Sr (0.5000, 0.4999, 0.9999)  10 Ac 4.19-4.43, 2 Sr 4.27
Co (0.6672, 0.0181, 0.3345)  6 Ac 2.81-3.01, 1 Co 2.95
Co (0.3328, 0.9818, 0.6656)  6 Ac 2.81-3.01, 1 Co 2.95
Ac (0.7565, 0.8374, 0.5130)  5 Co 2.89-3.01
Ac (0.1756, 0.4889, 0.3513)  3 Co 2.95
Ac (0.0955, 0.8545, 0.1910)  3 Co 2.86-2.93

No. 6
# CsRbHg2Au

CsRbHg2Au after structural relaxation (PBE-GGA, the Alexandria database).

Computed properties:
- Crystal system: tetragonal
- Formation enthalpy at 0 K: -0.099 eV/atom
- D(E_F): 0.669 states/eV per atom
- Excess energy over the best structure of this formula in the dataset: 0.166 eV/atom
- Energy: -0.0911 Ry per atom

a b c (Å): 5.6936 5.6936 6.4635
angles (deg): 90.00 90.00 90.00
Closest atoms and distances in Å follow each position.
Element x y z (fractional)
Au (0.0000, 0.0000, 0.0000)  4 Hg 2.85
Hg (0.0000, 0.5000, 0.0000)  2 Au 2.85
Rb (0.5000, 0.5000, 0.5000)  4 Cs 4.03, 8 Hg 4.31
Cs (0.0000, 0.0000, 0.5000)  2 Au 3.23
Hg (0.5000, 0.0000, 0.0000)  2 Au 2.85

No. 7
# CaTiCr3

CaTiCr3 after structural relaxation (PBE-GGA, the Alexandria database).

Computed properties:
- Crystal system: cubic
- Formation enthalpy at 0 K: 1.051 eV/atom
- D(E_F): 1.731 states/eV per atom
- Excess energy over the best structure of this formula in the dataset: 0.000 eV/atom
- Energy: -0.4926 Ry per atom

a b c (Å): 4.7074 4.7074 4.7074
angles (deg): 90.00 90.00 90.00
Closest atoms and distances in Å follow each position.
Element x y z (fractional)
Cr (0.0000, 0.0000, 0.5000)  2 Ti 2.35
Ti (0.0000, 0.0000, 0.0000)  6 Cr 2.35
Ca (0.5000, 0.5000, 0.5000)  12 Cr 3.33
Cr (0.5000, 0.0000, 0.0000)  2 Ti 2.35
Cr (0.0000, 0.5000, 0.0000)  2 Ti 2.35

No. 8
# CePmSm2Tm

CePmSm2Tm after structural relaxation (PBE-GGA, the Alexandria database).

Computed properties:
- Crystal system: monoclinic
- Formation enthalpy at 0 K: 0.289 eV/atom
- D(E_F): 2.030 states/eV per atom
- Energy: -0.3403 Ry per atom

a b c (Å): 6.6473 8.2878 6.0082
angles (deg): 90.90 90.00 90.00
Closest atoms and distances in Å follow each position.
Element x y z (fractional)
Tm (0.1646, 0.5000, 0.7500)  8 Sm 3.51-3.87, 2 Tm 3.72
Pm (0.5751, 0.0000, 0.2500)  2 Sm 3.11, 2 Pm 3.17, 2 Ce 3.20
Pm (0.4249, 0.0000, 0.7500)  2 Sm 3.11, 2 Pm 3.17, 2 Ce 3.20
Ce (0.0000, 0.0000, 0.5000)  2 Ce 3.00, 2 Pm 3.20
Tm (0.8354, 0.5000, 0.2500)  8 Sm 3.51-3.87, 2 Tm 3.72
Sm (0.6950, 0.6938, 0.7548)  1 Pm 3.11, 1 Sm 3.21
Sm (0.3050, 0.6938, 0.2548)  1 Pm 3.11, 1 Sm 3.21
Sm (0.6950, 0.3062, 0.7452)  1 Pm 3.11, 1 Sm 3.21
Sm (0.3050, 0.3062, 0.2452)  1 Pm 3.11, 1 Sm 3.21
Ce (0.0000, 0.0000, 0.0000)  2 Ce 3.00, 2 Pm 3.20